# 1
{
  "formula": "TiSi2Tc",
  "functional": "PBE",
  "state": "relaxed",
  "cell": [[0.000, 3.034, 3.034], [3.034, 0.000, 3.034], [3.034, 3.034, 0.000]],
  "species": ["Ti", "Si", "Si", "Tc"],
  "fractional_positions": [[0.000, 0.000, 0.000], [0.250, 0.250, 0.250], [0.750, 0.750, 0.750], [0.500, 0.500, 0.500]],
  "sg": "No. 225",
  "formation_energy_uncorrected_mev_per_atom": -371,
  "polymorph_energy_ev_per_atom": 0.088
}

# 2
{
  "formula": "Ti4SiTc2",
  "functional": "PBE",
  "state": "relaxed",
  "cell": [[-2.278, 2.278, 6.192], [2.278, -2.278, 6.192], [2.278, 2.278, -6.192]],
  "species": ["Ti", "Ti", "Ti", "Ti", "Si", "Tc", "Tc"],
  "fractional_positions": [[0.000, 0.500, 0.500], [0.197, 0.197, 0.000], [0.500, 0.000, 0.500], [0.803, 0.803, 0.000], [0.000, 0.000, 0.000], [0.381, 0.381, 0.000], [0.619, 0.619, 0.000]],
  "sg": "No. 139",
  "formation_energy_uncorrected_mev_per_atom": 440
}

# 3
{
  "formula": "TiSiTc",
  "functional": "PBE",
  "state": "relaxed",
  "cell": [[6.800, 0.000, 0.000], [-3.400, 5.889, 0.000], [0.000, 0.000, 3.233]],
  "species": ["Ti", "Ti", "Ti", "Si", "Si", "Si", "Tc", "Tc", "Tc"],
  "fractional_positions": [[0.000, 0.403, 0.000], [0.403, 0.000, 0.000], [0.597, 0.597, 0.000], [0.000, 0.000, 0.000], [0.333, 0.667, 0.500], [0.667, 0.333, 0.500], [0.000, 0.738, 0.500], [0.262, 0.262, 0.500], [0.738, 0.000, 0.500]],
  "sg": "No. 189",
  "formation_energy_uncorrected_mev_per_atom": -840,
  "polymorph_energy_ev_per_atom": 0.000
}

# 4
{
  "formula": "Ti2SiTc",
  "functional": "PBE",
  "state": "relaxed",
  "cell": [[4.172, 0.000, 0.000], [0.000, 4.172, 0.000], [0.000, 0.000, 3.375]],
  "species": ["Ti", "Ti", "Si", "Tc"],
  "fractional_positions": [[0.000, 0.500, 0.000], [0.500, 0.000, 0.000], [0.000, 0.000, 0.500], [0.500, 0.500, 0.500]],
  "sg": "No. 123",
  "formation_energy_uncorrected_mev_per_atom": -579
}

# 5
{
  "formula": "TiSi2Tc",
  "functional": "PBE",
  "state": "relaxed",
  "cell": [[2.985, 0.000, 0.000], [0.000, 2.985, 0.000], [0.000, 0.000, 6.353]],
  "species": ["Ti", "Si", "Si", "Tc"],
  "fractional_positions": [[0.000, 0.000, 0.000], [0.500, 0.500, 0.282], [0.500, 0.500, 0.718], [0.000, 0.000, 0.500]],
  "sg": "No. 123",
  "formation_energy_uncorrected_mev_per_atom": -459,
  "polymorph_energy_ev_per_atom": 0.000
}

# 6
{
  "formula": "Ti2SiTc2",
  "functional": "PBE",
  "state": "relaxed",
  "cell": [[6.273, 0.000, 0.000], [0.000, 6.273, 0.000], [0.000, 0.000, 4.040]],
  "species": ["Ti", "Ti", "Ti", "Ti", "Si", "Si", "Tc", "Tc", "Tc", "Tc"],
  "fractional_positions": [[0.178, 0.322, 0.000], [0.322, 0.822, 0.000], [0.678, 0.178, 0.000], [0.822, 0.678, 0.000], [0.000, 0.000, 0.500], [0.500, 0.500, 0.500], [0.145, 0.645, 0.500], [0.355, 0.145, 0.500], [0.645, 0.855, 0.500], [0.855, 0.355, 0.500]],
  "sg": "No. 127",
  "formation_energy_uncorrected_mev_per_atom": -259
}

# 7
{
  "formula": "TiSi5Tc6",
  "functional": "PBE",
  "state": "relaxed",
  "cell": [[-2.122, 2.989, 6.332], [2.122, -2.989, 6.332], [2.122, 2.989, -6.332]],
  "species": ["Ti", "Si", "Si", "Si", "Si", "Si", "Tc", "Tc", "Tc", "Tc", "Tc", "Tc"],
  "fractional_positions": [[0.000, 0.000, 0.000], [0.156, 0.656, 0.500], [0.332, 0.332, 0.000], [0.500, 0.000, 0.500], [0.668, 0.668, 0.000], [0.844, 0.344, 0.500], [0.086, 0.826, 0.260], [0.264, 0.500, 0.764], [0.434, 0.174, 0.260], [0.566, 0.826, 0.740], [0.736, 0.500, 0.236], [0.914, 0.174, 0.740]],
  "sg": "No. 71",
  "formation_energy_uncorrected_mev_per_atom": -515
}

# 8
{
  "formula": "Ti4SiTc5",
  "functional": "PBE",
  "state": "relaxed",
  "cell": [[3.100, 0.000, 0.000], [0.000, 3.100, 0.000], [0.000, 0.000, 15.207]],
  "species": ["Ti", "Ti", "Ti", "Ti", "Si", "Tc", "Tc", "Tc", "Tc", "Tc"],
  "fractional_positions": [[0.000, 0.000, 0.102], [0.000, 0.000, 0.305], [0.000, 0.000, 0.695], [0.000, 0.000, 0.898], [0.000, 0.000, 0.500], [0.500, 0.500, 0.000], [0.500, 0.500, 0.204], [0.500, 0.500, 0.409], [0.500, 0.500, 0.591], [0.500, 0.500, 0.796]],
  "sg": "No. 123",
  "formation_energy_uncorrected_mev_per_atom": -488
}

# 9
{
  "formula": "Ti2TlSiTc",
  "functional": "PBE",
  "state": "relaxed",
  "cell": [[4.946, 0.000, 0.000], [0.000, 4.946, 0.000], [0.000, 0.000, 4.953]],
  "species": ["Ti", "Ti", "Tl", "Si", "Tc"],
  "fractional_positions": [[0.000, 0.500, 0.000], [0.500, 0.000, 0.000], [0.000, 0.000, 0.000], [0.500, 0.500, 0.500], [0.000, 0.000, 0.500]],
  "sg": "No. 123",
  "formation_energy_uncorrected_mev_per_atom": 1792
}

# 10
{
  "formula": "TmTiSi2Tc",
  "functional": "PBE",
  "state": "relaxed",
  "cell": [[-1.957, 1.957, 5.567], [1.957, -1.957, 5.567], [1.957, 1.957, -5.567]],
  "species": ["Tm", "Ti", "Si", "Si", "Tc"],
  "fractional_positions": [[0.000, 0.000, 0.000], [0.250, 0.750, 0.500], [0.394, 0.394, 0.000], [0.606, 0.606, 0.000], [0.750, 0.250, 0.500]],
  "sg": "No. 119",
  "formation_energy_uncorrected_mev_per_atom": -758
}

# 11
{
  "formula": "TiVSiTc",
  "functional": "PBE",
  "state": "relaxed",
  "cell": [[0.000, 3.033, 3.033], [3.033, 0.000, 3.033], [3.033, 3.033, 0.000]],
  "species": ["Ti", "V", "Si", "Tc"],
  "fractional_positions": [[0.000, 0.000, 0.000], [0.250, 0.250, 0.250], [0.750, 0.750, 0.750], [0.500, 0.500, 0.500]],
  "sg": "No. 216",
  "formation_energy_uncorrected_mev_per_atom": -424
}

# 12
{
  "formula": "TiVSiTc2",
  "functional": "PBE",
  "state": "relaxed",
  "cell": [[4.513, 0.000, 0.000], [0.000, 4.513, 0.000], [0.000, 0.000, 4.282]],
  "species": ["Ti", "V", "Si", "Tc", "Tc"],
  "fractional_positions": [[0.000, 0.000, 0.000], [0.000, 0.000, 0.500], [0.500, 0.500, 0.500], [0.000, 0.500, 0.000], [0.500, 0.000, 0.000]],
  "sg": "No. 123",
  "formation_energy_uncorrected_mev_per_atom": 1348
}

# 13
{
  "formula": "Tl2SiTc",
  "functional": "PBE",
  "state": "relaxed",
  "cell": [[0.000, 3.464, 3.464], [3.464, 0.000, 3.464], [3.464, 3.464, 0.000]],
  "species": ["Tl", "Tl", "Si", "Tc"],
  "fractional_positions": [[0.000, 0.000, 0.000], [0.250, 0.250, 0.250], [0.500, 0.500, 0.500], [0.750, 0.750, 0.750]],
  "sg": "No. 216",
  "formation_energy_uncorrected_mev_per_atom": 931,
  "polymorph_energy_ev_per_atom": 0.757
}

# 14
{
  "formula": "Tl2SiTc",
  "functional": "PBE",
  "state": "relaxed",
  "cell": [[4.859, 0.000, 0.000], [0.000, 4.859, 0.000], [0.000, 0.000, 3.396]],
  "species": ["Tl", "Tl", "Si", "Tc"],
  "fractional_positions": [[0.000, 0.500, 0.000], [0.500, 0.000, 0.000], [0.000, 0.000, 0.500], [0.500, 0.500, 0.500]],
  "sg": "No. 123",
  "formation_energy_uncorrected_mev_per_atom": 882,
  "polymorph_energy_ev_per_atom": 0.708
}

# 15
{
  "formula": "TlSiTc",
  "functional": "PBE",
  "state": "relaxed",
  "cell": [[5.257, 0.000, 0.000], [0.000, 3.858, 0.000], [-1.010, 0.000, 5.715]],
  "species": ["Tl", "Tl", "Si", "Si", "Tc", "Tc"],
  "fractional_positions": [[0.000, 0.000, 0.000], [0.500, 0.500, 0.002], [0.003, 0.500, 0.500], [0.503, 0.500, 0.502], [0.273, 0.000, 0.629], [0.732, 0.000, 0.375]],
  "sg": "No. 6",
  "formation_energy_uncorrected_mev_per_atom": 153,
  "polymorph_energy_ev_per_atom": 0.208
}

# 16
{
  "formula": "TlSiTc",
  "functional": "PBE",
  "state": "relaxed",
  "cell": [[3.013, 0.000, 0.000], [0.000, 3.951, 0.000], [1.480, 1.199, 9.960]],
  "species": ["Tl", "Tl", "Si", "Si", "Tc", "Tc"],
  "fractional_positions": [[0.068, 0.288, 0.377], [0.932, 0.712, 0.623], [0.202, 0.872, 0.097], [0.798, 0.128, 0.903], [0.309, 0.638, 0.879], [0.691, 0.362, 0.121]],
  "sg": "No. 2",
  "formation_energy_uncorrected_mev_per_atom": -32,
  "polymorph_energy_ev_per_atom": 0.022
}

# 17
{
  "formula": "Tl2SiTc",
  "functional": "PBE",
  "state": "relaxed",
  "cell": [[-5.264, 5.264, 2.307], [5.264, -5.264, 2.307], [5.264, 5.264, -2.307]],
  "species": ["Tl", "Tl", "Tl", "Tl", "Si", "Si", "Tc", "Tc"],
  "fractional_positions": [[0.000, 0.000, 0.000], [0.000, 0.000, 0.500], [0.000, 0.500, 0.000], [0.500, 0.000, 0.500], [0.375, 0.625, 0.750], [0.625, 0.375, 0.250], [0.125, 0.875, 0.250], [0.875, 0.125, 0.750]],
  "sg": "No. 141",
  "formation_energy_uncorrected_mev_per_atom": 378,
  "polymorph_energy_ev_per_atom": 0.203
}

# 18
{
  "formula": "Tl3SiTc",
  "functional": "PBE",
  "state": "relaxed",
  "cell": [[5.318, 0.000, 0.000], [0.000, 5.318, 0.000], [0.000, 0.000, 5.318]],
  "species": ["Tl", "Tl", "Tl", "Si", "Tc"],
  "fractional_positions": [[0.000, 0.000, 0.500], [0.000, 0.500, 0.000], [0.500, 0.000, 0.000], [0.500, 0.500, 0.500], [0.000, 0.000, 0.000]],
  "sg": "No. 221",
  "formation_energy_uncorrected_mev_per_atom": 965,
  "polymorph_energy_ev_per_atom": 0.000
}

# 19
{
  "formula": "Tl2SiTc",
  "functional": "PBE",
  "state": "relaxed",
  "cell": [[3.225, 0.000, 0.000], [0.000, 3.225, 0.000], [0.000, 0.000, 8.567]],
  "species": ["Tl", "Tl", "Si", "Tc"],
  "fractional_positions": [[0.000, 0.000, 0.000], [0.500, 0.500, 0.361], [0.000, 0.000, 0.642], [0.500, 0.500, 0.741]],
  "sg": "No. 99",
  "formation_energy_uncorrected_mev_per_atom": 174,
  "polymorph_energy_ev_per_atom": 0.000
}

# 20
{
  "formula": "TlSiTc",
  "functional": "PBE",
  "state": "relaxed",
  "cell": [[4.357, -1.531, 0.000], [4.357, 1.531, 0.000], [-3.228, 0.000, 8.906]],
  "species": ["Tl", "Tl", "Si", "Si", "Tc", "Tc"],
  "fractional_positions": [[0.165, 0.165, 0.125], [0.835, 0.835, 0.875], [0.464, 0.464, 0.618], [0.536, 0.536, 0.382], [0.184, 0.184, 0.602], [0.816, 0.816, 0.398]],
  "sg": "No. 12",
  "formation_energy_uncorrected_mev_per_atom": -54,
  "polymorph_energy_ev_per_atom": 0.000
}

# 21
{
  "formula": "Tl2SiTc",
  "functional": "PBE",
  "state": "relaxed",
  "cell": [[1.539, 0.888, 10.360], [-1.539, 0.888, 10.360], [0.000, -1.777, 10.360]],
  "species": ["Tl", "Tl", "Si", "Tc"],
  "fractional_positions": [[0.243, 0.243, 0.243], [0.757, 0.757, 0.757], [0.000, 0.000, 0.000], [0.500, 0.500, 0.500]],
  "sg": "No. 166",
  "formation_energy_uncorrected_mev_per_atom": 868,
  "polymorph_energy_ev_per_atom": 0.693
}

# 22
{
  "formula": "Tl2SiTc",
  "functional": "PBE",
  "state": "relaxed",
  "cell": [[3.098, 0.000, 0.000], [0.000, 3.098, 0.000], [0.000, 0.000, 8.699]],
  "species": ["Tl", "Tl", "Si", "Tc"],
  "fractional_positions": [[0.000, 0.000, 0.233], [0.000, 0.000, 0.767], [0.500, 0.500, 0.500], [0.500, 0.500, 0.000]],
  "sg": "No. 123",
  "formation_energy_uncorrected_mev_per_atom": 867,
  "polymorph_energy_ev_per_atom": 0.693
}

# 23
{
  "formula": "TlSiTc",
  "functional": "PBE",
  "state": "relaxed",
  "cell": [[3.130, 0.000, 0.000], [0.000, 3.130, 0.000], [0.000, 0.000, 5.791]],
  "species": ["Tl", "Si", "Tc"],
  "fractional_positions": [[0.000, 0.000, 0.000], [0.000, 0.000, 0.536], [0.500, 0.500, 0.349]],
  "sg": "No. 99",
  "formation_energy_uncorrected_mev_per_atom": 135,
  "polymorph_energy_ev_per_atom": 0.190
}

# 24
{
  "formula": "TlSi2Tc2",
  "functional": "PBE",
  "state": "relaxed",
  "cell": [[-1.751, 1.751, 6.550], [1.751, -1.751, 6.550], [1.751, 1.751, -6.550]],
  "species": ["Tl", "Si", "Si", "Tc", "Tc"],
  "fractional_positions": [[0.000, 0.000, 0.000], [0.250, 0.750, 0.500], [0.750, 0.250, 0.500], [0.383, 0.383, 0.000], [0.617, 0.617, 0.000]],
  "sg": "No. 139",
  "formation_energy_uncorrected_mev_per_atom": -104,
  "polymorph_energy_ev_per_atom": 0.000
}

# 25
{
  "formula": "TlSiTc",
  "functional": "PBE",
  "state": "relaxed",
  "cell": [[-1.631, 1.631, 4.957], [1.631, -1.631, 4.957], [1.631, 1.631, -4.957]],
  "species": ["Tl", "Si", "Tc"],
  "fractional_positions": [[0.000, 0.000, 0.000], [0.707, 0.707, 0.000], [0.296, 0.296, 0.000]],
  "sg": "No. 107",
  "formation_energy_uncorrected_mev_per_atom": 159,
  "polymorph_energy_ev_per_atom": 0.214
}

# 26
{
  "formula": "TlSiTc",
  "functional": "PBE",
  "state": "relaxed",
  "cell": [[3.115, 0.000, 0.000], [0.000, 3.307, 0.000], [-0.969, 0.000, 11.586]],
  "species": ["Tl", "Tl", "Si", "Si", "Tc", "Tc"],
  "fractional_positions": [[0.000, 0.000, 0.000], [0.322, 0.500, 0.721], [0.223, 0.500, 0.451], [0.651, 0.500, 0.209], [0.177, 0.000, 0.294], [0.745, 0.000, 0.521]],
  "sg": "No. 6",
  "formation_energy_uncorrected_mev_per_atom": -29,
  "polymorph_energy_ev_per_atom": 0.025
}

# 27
{
  "formula": "Tl2SiTc",
  "functional": "PBE",
  "state": "relaxed",
  "cell": [[3.730, 0.000, 0.000], [0.000, 4.843, 0.000], [-0.378, 0.000, 4.907]],
  "species": ["Tl", "Tl", "Si", "Tc"],
  "fractional_positions": [[0.207, 0.000, 0.260], [0.793, 0.000, 0.740], [0.500, 0.500, 0.000], [0.500, 0.500, 0.500]],
  "sg": "No. 10",
  "formation_energy_uncorrected_mev_per_atom": 701,
  "polymorph_energy_ev_per_atom": 0.527
}